Material: Pr3Nd4Er4
Method: DFT, PBE-GGA
State: optimized geometry

Summary:
symmetry	Amm2
relative energy among the computed polymorphs	133	meV/atom
crystal system	orthorhombic

a b c (Å): 10.8292 6.7151 6.7151
angles (deg): 50.93 90.00 90.00
Closest atoms and distances in Å follow each position.
Fractional coordinates of all 11 atoms:
Pr 0.0000 0.0000 0.0000  7 Nd 3.56-3.82, 2 Pr 3.68, 5 Er 3.68-3.75
Pr 0.2896 0.1585 0.1585  3 Er 3.32-3.71, 4 Nd 3.58-3.69, 1 Pr 3.68
Pr 0.7104 0.1585 0.1585  3 Er 3.32-3.71, 4 Nd 3.58-3.69, 1 Pr 3.68
Nd 0.0000 0.7063 0.7063  2 Er 3.12, 2 Nd 3.42
Nd 0.2133 0.4983 0.4983  4 Er 3.30-3.54, 2 Nd 3.42-3.50, 4 Pr 3.58-3.70
Nd 0.5000 0.6309 0.6309  3 Er 3.31-3.42, 2 Nd 3.50, 4 Pr 3.69
Nd 0.7867 0.4983 0.4983  4 Er 3.30-3.54, 2 Nd 3.42-3.50, 4 Pr 3.58-3.70
Er 0.0000 0.3035 0.3035  4 Nd 3.12-3.30
Er 0.3043 0.8525 0.8525  4 Nd 3.42-3.74, 2 Er 3.58, 4 Pr 3.71-3.75
Er 0.5000 0.3581 0.3581  3 Nd 3.31-3.54, 2 Pr 3.32, 4 Er 3.58
Er 0.6957 0.8525 0.8525  4 Nd 3.42-3.74, 2 Er 3.58, 4 Pr 3.71-3.75

Material: SrMn2Cd
Method: DFT, PBE-GGA
State: optimized geometry

Summary:
symmetry	R-3m
crystal system	trigonal

a b c (Å): 10.0250 10.0250 10.0250
angles (deg): 18.90 18.90 18.90
Closest atoms and distances in Å follow each position.
Fractional coordinates of all 4 atoms:
Sr 0.0000 0.0000 0.0000  6 Sr 3.29, 6 Mn 3.32
Mn 0.2410 0.2410 0.2410  3 Cd 2.90
Mn 0.7590 0.7590 0.7590  3 Cd 2.90
Cd 0.5000 0.5000 0.5000  6 Mn 2.90

Material: MnV6Co5
Method: DFT, PBE-GGA
State: optimized geometry

Summary:
symmetry	Immm
crystal system	orthorhombic

a b c (Å): 7.0762 7.0762 7.0762
angles (deg): 146.34 131.75 60.12
Closest atoms and distances in Å follow each position.
Fractional coordinates of all 12 atoms:
Mn 0.0000 0.0000 0.0000  8 V 2.47-2.49
V 0.0822 0.8352 0.2470  1 Mn 2.47, 7 Co 2.49-2.52
V 0.2456 0.5000 0.7456  2 Mn 2.49, 6 Co 2.51-2.52
V 0.4119 0.1648 0.2470  1 Mn 2.47, 7 Co 2.49-2.52
V 0.5881 0.8352 0.7530  1 Mn 2.47, 7 Co 2.49-2.52
V 0.7544 0.5000 0.2544  2 Mn 2.49, 6 Co 2.51-2.52
V 0.9178 0.1648 0.7530  1 Mn 2.47, 7 Co 2.49-2.52
Co 0.1696 0.6696 0.5000  8 V 2.50-2.52
Co 0.3344 0.3344 0.0000  8 V 2.51-2.52
Co 0.5000 0.0000 0.5000  8 V 2.49-2.52
Co 0.6656 0.6656 0.0000  8 V 2.51-2.52
Co 0.8304 0.3304 0.5000  8 V 2.50-2.52

Material: Ac2HgPdRh
Method: DFT, PBE-GGA
State: optimized geometry

Summary:
symmetry	P2_1/m
crystal system	monoclinic

a b c (Å): 8.0823 4.4309 8.4716
angles (deg): 90.00 113.76 90.00
Closest atoms and distances in Å follow each position.
Fractional coordinates of all 10 atoms:
Ac 0.1092 0.2500 0.3455  1 Pd 3.03, 2 Rh 3.05
Ac 0.3240 0.7500 0.0631  3 Rh 3.02-3.07, 1 Pd 3.18
Ac 0.6760 0.2500 0.9369  3 Rh 3.02-3.07, 1 Pd 3.18
Ac 0.8908 0.7500 0.6545  1 Pd 3.03, 2 Rh 3.05
Hg 0.4197 0.7500 0.6275  2 Pd 2.95
Hg 0.5803 0.2500 0.3725  2 Pd 2.95
Pd 0.2480 0.2500 0.7356  1 Rh 2.67, 2 Hg 2.95
Pd 0.7520 0.7500 0.2644  1 Rh 2.67, 2 Hg 2.95
Rh 0.0487 0.2500 0.9216  1 Pd 2.67, 2 Rh 2.85
Rh 0.9513 0.7500 0.0784  1 Pd 2.67, 2 Rh 2.85

Material: Zr2CuBi2
Method: DFT, PBE-GGA
State: optimized geometry

Summary:
symmetry	P4/mbm
relative energy among the computed polymorphs	89	meV/atom
crystal system	tetragonal

a b c (Å): 7.7882 7.7882 3.9551
angles (deg): 90.00 90.00 90.00
Closest atoms and distances in Å follow each position.
Fractional coordinates of all 10 atoms:
Zr 0.1437 0.3563 0.0000  6 Bi 2.95-3.07, 1 Zr 3.17
Zr 0.3563 0.8563 0.0000  6 Bi 2.95-3.07, 1 Zr 3.17
Zr 0.6437 0.1437 0.0000  6 Bi 2.95-3.07, 1 Zr 3.17
Zr 0.8563 0.6437 0.0000  6 Bi 2.95-3.07, 1 Zr 3.17
Cu 0.0000 0.0000 0.5000  4 Bi 2.94
Cu 0.5000 0.5000 0.5000  4 Bi 2.94
Bi 0.1571 0.6571 0.5000  2 Cu 2.94, 6 Zr 2.95-3.07
Bi 0.3429 0.1571 0.5000  2 Cu 2.94, 6 Zr 2.95-3.07
Bi 0.6571 0.8429 0.5000  2 Cu 2.94, 6 Zr 2.95-3.07
Bi 0.8429 0.3429 0.5000  2 Cu 2.94, 6 Zr 2.95-3.07

Material: Li2ThNb3N6
Method: DFT, PBE-GGA
State: optimized geometry

Summary:
symmetry	C2/m
formation energy without anion corrections	-1065	meV per atom
crystal system	monoclinic

a b c (Å): 5.4616 5.4616 5.8124
angles (deg): 98.39 98.39 120.25
Closest atoms and distances in Å follow each position.
Fractional coordinates of all 12 atoms:
Li 0.1668 0.8332 0.0000  6 N 2.36-2.43
Li 0.8332 0.1668 0.0000  6 N 2.36-2.43
Th 0.5000 0.5000 0.0000  6 N 2.39-2.41
Nb 0.0000 0.0000 0.5000  6 N 2.15-2.25
Nb 0.3183 0.6817 0.5000  6 N 2.10-2.29
Nb 0.6817 0.3183 0.5000  6 N 2.10-2.29
N 0.0751 0.4163 0.7247  3 Nb 2.10-2.25, 1 Li 2.36
N 0.2620 0.2620 0.2860  3 Nb 2.15-2.29, 1 Th 2.39
N 0.4163 0.0751 0.7247  3 Nb 2.10-2.25, 1 Li 2.36
N 0.5837 0.9249 0.2753  3 Nb 2.10-2.25, 1 Li 2.36
N 0.7380 0.7380 0.7140  3 Nb 2.15-2.29, 1 Th 2.39
N 0.9249 0.5837 0.2753  3 Nb 2.10-2.25, 1 Li 2.36

Material: Th2SnRh5Au
Method: DFT, PBE-GGA
State: optimized geometry

Summary:
symmetry	I4/mcm
crystal system	tetragonal

a b c (Å): 8.0079 8.0079 8.0079
angles (deg): 116.33 116.33 96.49
Closest atoms and distances in Å follow each position.
Fractional coordinates of all 18 atoms:
Th 0.1396 0.6396 0.7792  2 Rh 2.47
Th 0.3604 0.1396 0.5000  2 Rh 2.47
Th 0.6396 0.8604 0.5000  2 Rh 2.47
Th 0.8604 0.3604 0.2208  2 Rh 2.47
Sn 0.2500 0.2500 0.0000  2 Rh 2.67
Sn 0.7500 0.7500 0.0000  2 Rh 2.67
Rh 0.0000 0.0000 0.0000  2 Sn 2.67
Rh 0.0576 0.1707 0.5000  1 Th 2.47, 1 Au 2.61
Rh 0.1707 0.6707 0.1131  1 Th 2.47, 1 Au 2.61
Rh 0.3293 0.4424 0.5000  1 Th 2.47, 1 Au 2.61
Rh 0.4424 0.9424 0.1131  1 Th 2.47, 1 Au 2.61
Rh 0.5000 0.5000 0.0000  2 Sn 2.67
Rh 0.5576 0.0576 0.8869  1 Th 2.47, 1 Au 2.61
Rh 0.6707 0.5576 0.5000  1 Th 2.47, 1 Au 2.61
Rh 0.8293 0.3293 0.8869  1 Th 2.47, 1 Au 2.61
Rh 0.9424 0.8293 0.5000  1 Th 2.47, 1 Au 2.61
Au 0.2500 0.7500 0.5000  4 Rh 2.61
Au 0.7500 0.2500 0.5000  4 Rh 2.61

Material: Ac3Al7Cu2
Method: DFT, PBE-GGA
State: optimized geometry

Summary:
symmetry	R-3m
crystal system	trigonal

a b c (Å): 9.4926 9.4926 9.4926
angles (deg): 35.57 35.57 35.57
Closest atoms and distances in Å follow each position.
Fractional coordinates of all 12 atoms:
Ac 0.0000 0.0000 0.0000  6 Cu 3.35, 12 Al 3.53
Ac 0.1420 0.1420 0.1420  12 Al 3.40-3.49, 4 Ac 3.60-3.79
Ac 0.8580 0.8580 0.8580  12 Al 3.40-3.49, 4 Ac 3.60-3.79
Al 0.0690 0.5788 0.5788  2 Cu 2.59-2.65, 2 Al 2.84
Al 0.4212 0.4212 0.9310  2 Cu 2.59-2.65, 2 Al 2.84
Al 0.4212 0.9310 0.4212  2 Cu 2.59-2.65, 2 Al 2.84
Al 0.5000 0.5000 0.5000  6 Al 2.97
Al 0.5788 0.0690 0.5788  2 Cu 2.59-2.65, 2 Al 2.84
Al 0.5788 0.5788 0.0690  2 Cu 2.59-2.65, 2 Al 2.84
Al 0.9310 0.4212 0.4212  2 Cu 2.59-2.65, 2 Al 2.84
Cu 0.3359 0.3359 0.3359  6 Al 2.59-2.65
Cu 0.6641 0.6641 0.6641  6 Al 2.59-2.65

Let's list D(E_F) in order: 17.00; 3.21; 9.66; 7.15; 11.12; 4.68; 11.49; 5.33 states/eV/cell.
Let's list uncorrected energy in order: -4.54; -4.50; -8.39; -4.82; -5.77; -8.68; -6.74; -4.27 eV per atom.